(1)
A plane-wave DFT calculation with PBE-GGA was carried out for a geometry-optimized Tb4Sb3Se structure.

The structure in extended XYZ format:
```
8
Lattice="5.612 0.005 -2.488 -1.108 5.502 -2.488 -0.031 -0.039 7.503" Properties=species:S:1:pos:R:3 pbc="T T T"
Tb 1.092 1.335 2.467
Tb 5.027 2.717 3.771
Tb 3.381 4.133 0.061
Sb 0.557 4.108 1.264
Sb 3.916 1.360 1.264
Sb 2.252 2.753 -2.488
Se 0.000 0.000 0.000
Tb 1.667 5.466 3.772
```

Summary:
Volume, Å³ per atom: 28.83
Space group: I4/mmm
D(E_F), states/eV/cell: 2.6
VASP energy, eV per atom: -5.61

---

(2)
A plane-wave DFT calculation with PBE-GGA was carried out for a geometry-optimized TbSb2Se4 structure.

The structure in extended XYZ format:
```
14
Lattice="4.295 0.000 0.000 -2.148 6.642 0.000 0.000 0.000 13.488" Properties=species:S:1:pos:R:3 pbc="T T T"
Se 0.000 0.283 3.372
Se 2.148 0.000 6.744
Se 2.148 0.000 0.000
Se 2.148 6.359 10.116
Tb 0.000 5.018 3.372
Sb 2.148 4.975 7.564
Se 0.000 2.970 8.406
Se 2.148 3.673 1.662
Se 0.000 2.970 11.826
Se 2.148 3.673 5.082
Sb 2.148 4.975 12.668
Sb 0.000 1.667 0.820
Sb 0.000 1.667 5.924
Tb 2.148 1.625 10.116
```

Summary:
Volume, Å³ per atom: 27.48
Space group: Cmcm
D(E_F), states/eV/cell: 4.5
VASP energy, eV per atom: -4.50

---

(3)
A plane-wave DFT calculation with PBE-GGA was carried out for a geometry-optimized Tb5Sb4Se structure.

The structure in extended XYZ format:
```
10
Lattice="-1.403 1.244 5.868 4.464 -3.396 5.021 3.547 6.018 2.806" Properties=species:S:1:pos:R:3 pbc="T T T"
Sb 2.035 1.955 3.312
Sb 2.568 -0.080 7.104
Tb 5.330 1.278 7.477
Sb 4.571 1.913 10.394
Tb -0.704 0.624 2.942
Tb 3.352 4.629 9.527
Tb 3.253 -0.761 4.179
Sb 4.037 3.948 6.602
Tb 1.275 2.590 6.229
Se -0.002 0.002 0.007
```

Summary:
Volume, Å³ per atom: 29.07
Space group: I4/m
D(E_F), states/eV/cell: 2.5
VASP energy, eV per atom: -5.60

---

(4)
A plane-wave DFT calculation with PBE-GGA was carried out for a geometry-optimized Tb6SbSe4 structure.

The structure in extended XYZ format:
```
22
Lattice="-0.872 -0.333 3.986 6.628 -1.989 -0.819 6.283 19.692 3.022" Properties=species:S:1:pos:R:3 pbc="T T T"
Tb 9.260 10.988 5.047
Tb 1.701 2.998 0.623
Tb -0.436 -0.167 1.993
Se 2.004 0.103 0.447
Tb 6.583 10.749 2.339
Sb 3.294 4.005 3.158
Tb 10.340 14.372 5.566
Se 5.926 0.644 1.350
Tb 2.780 6.382 1.142
Tb 5.857 3.431 1.568
Se 7.513 5.617 2.113
Se 7.354 8.862 4.452
Se 4.686 8.508 1.737
Tb 6.183 13.939 4.621
Sb 8.746 13.365 3.031
Se 4.527 11.753 4.076
Tb 3.522 0.556 2.919
Tb 8.518 16.813 3.270
Tb 2.706 9.679 3.504
Tb 5.457 6.621 3.850
Se 6.114 16.726 4.839
Se 10.036 17.267 5.742
```

Summary:
Volume, Å³ per atom: 25.89
Space group: Cmcm
D(E_F), states/eV/cell: 18.3
VASP energy, eV per atom: -5.67

---

(5)
A plane-wave DFT calculation with PBE-GGA was carried out for a geometry-optimized TbSbSe3 structure.

The structure in extended XYZ format:
```
10
Lattice="-2.692 -1.463 -2.717 5.016 -4.673 -2.453 -3.142 -7.026 6.896" Properties=species:S:1:pos:R:3 pbc="T T T"
Tb -4.245 -7.253 3.482
Se -2.632 -8.439 5.608
Se -2.041 -7.790 1.587
Sb -0.551 -4.383 -1.723
Tb 3.427 -5.908 -1.757
Se 1.814 -4.723 -3.883
Se 1.223 -5.372 0.138
Se -2.551 -3.830 -0.039
Se 1.733 -9.331 1.764
Sb -0.267 -8.779 3.448
```

Summary:
Volume, Å³ per atom: 30.81
Relative energy among the computed polymorphs, meV per atom: 0
Space group: P2_1/m

---

(6)
A plane-wave DFT calculation with PBE-GGA was carried out for a geometry-optimized Tb4SbSe3 structure.

The structure in extended XYZ format:
```
8
Lattice="4.185 0.000 0.000 0.000 5.908 0.000 0.000 0.000 8.353" Properties=species:S:1:pos:R:3 pbc="T T T"
Se 0.000 0.000 4.176
Tb 2.093 0.000 6.173
Sb 0.000 0.000 0.000
Tb 0.000 2.954 4.176
Se 2.093 2.954 6.245
Se 2.093 2.954 2.108
Tb 2.093 0.000 2.180
Tb 0.000 2.954 0.000
```

Summary:
Volume, Å³ per atom: 25.82
Space group: Pmmm
D(E_F), states/eV/cell: 3.1
VASP energy, eV per atom: -5.75

---

(7)
A plane-wave DFT calculation with PBE-GGA was carried out for a geometry-optimized Tb4SbSe2 structure.

The structure in extended XYZ format:
```
14
Lattice="-0.582 3.323 -2.375 -2.635 -5.470 -3.424 -12.260 2.147 6.007" Properties=species:S:1:pos:R:3 pbc="T T T"
Se -13.940 0.915 1.110
Tb -6.511 0.394 -1.437
Tb -12.085 0.153 3.173
Se -1.537 -0.914 -0.903
Tb -8.966 -0.394 1.645
Sb -10.091 2.484 2.363
Tb -3.455 0.030 0.887
Tb -3.393 -0.152 -2.965
Tb -12.022 -0.029 -0.680
Tb -6.421 2.735 1.816
Tb -0.291 1.662 -1.188
Se -9.281 0.099 -1.172
Se -6.196 -0.098 1.380
Sb -5.386 -2.483 -2.155
```

Summary:
Volume, Å³ per atom: 27.12
Space group: Cmcm
D(E_F), states/eV/cell: 9.3
VASP energy, eV per atom: -5.57

---

(8)
A plane-wave DFT calculation with PBE-GGA was carried out for a geometry-optimized Tb3Sb2Se structure.

The structure in extended XYZ format:
```
6
Lattice="-0.895 -4.215 -0.146 5.806 -1.282 1.426 -3.969 2.853 5.619" Properties=species:S:1:pos:R:3 pbc="T T T"
Tb -2.432 -0.681 2.736
Tb 0.510 -3.463 1.364
Tb 0.432 0.819 5.534
Sb 3.437 -4.106 1.976
Sb -2.496 1.462 4.922
Se 0.471 -1.322 3.449
```

Summary:
Volume, Å³ per atom: 28.29
Space group: Immm
D(E_F), states/eV/cell: 1.5
VASP energy, eV per atom: -5.64

---

(9)
A plane-wave DFT calculation with PBE-GGA was carried out for a geometry-optimized Tb3Sb5Se12 structure.

The structure in extended XYZ format:
```
80
Lattice="-2.054 13.997 3.831 -12.329 -7.568 2.350 10.848 -5.720 8.025" Properties=species:S:1:pos:R:3 pbc="T T T"
Sb -1.767 0.354 7.103
Se -0.676 1.835 4.904
Se 3.318 -4.029 8.710
Se 6.464 -2.408 6.646
Se -0.358 -4.730 7.287
Sb -1.038 -1.933 11.179
Se -6.115 3.346 9.908
Se 1.033 -0.260 7.123
Se -1.157 -4.565 10.441
Se 2.071 3.504 4.376
Sb 5.424 -2.860 4.012
Se -9.999 3.117 7.560
Se -3.012 -1.933 5.903
Se -6.852 4.737 5.496
Sb -9.946 -3.838 4.017
Se 2.580 -2.638 4.298
Sb -0.740 -6.644 5.188
Se 6.425 7.250 10.610
Tb -5.548 0.301 9.945
Se 3.774 1.426 6.616
Se -2.859 -1.126 9.302
Se -4.568 0.969 7.083
Tb -3.237 -4.002 8.215
Se -4.496 -1.686 2.193
Se -12.400 4.399 5.771
Sb -7.192 3.214 3.091
Sb 5.825 0.013 7.749
Tb -0.298 4.711 5.991
Se -3.702 2.089 11.698
Tb 6.153 -5.148 8.088
Sb 1.901 6.780 8.955
Se 0.167 -1.380 2.508
Tb 2.229 1.620 9.294
Se 0.961 2.395 12.013
Sb -2.496 2.642 3.027
Sb -5.178 3.623 7.351
Se 4.704 0.018 10.245
Tb -2.908 -9.163 8.554
Se -5.744 -3.624 6.435
Tb -5.764 -0.911 4.912
Se -9.960 -6.542 3.596
Sb -1.367 3.227 10.840
Se -2.613 8.756 3.533
Se -5.606 -2.795 9.830
Se 0.437 7.261 4.367
Sb -2.168 -2.518 3.366
Sb 6.411 4.547 10.189
Sb -9.360 0.696 6.457
Tb -4.808 6.945 4.758
Sb 1.643 -2.914 6.855
Tb -9.688 5.856 6.118
Se -7.324 7.844 6.352
Se -0.922 -8.047 10.673
Se -0.149 -8.214 7.513
Se -7.541 -7.816 5.366
Tb -0.626 9.871 5.652
Se -3.386 8.922 6.693
Tb 2.014 0.408 4.261
Se -7.794 -2.418 3.099
Se -2.378 5.274 3.765
Se 4.006 8.524 8.840
Se 4.259 3.127 11.107
Se -4.949 1.429 3.030
Tb 1.273 -6.236 9.448
Sb 0.000 0.000 0.000
Se 1.415 -0.720 11.176
Sb -5.436 -6.071 5.251
Se -3.177 5.438 6.919
Se -8.239 0.691 3.961
Se 8.865 -3.690 8.435
Se 2.210 4.333 7.771
Se 3.789 -7.136 7.854
Se -0.347 7.402 7.525
Sb 4.397 4.138 5.928
Se -0.523 2.641 8.303
Sb -1.027 6.998 1.916
Se -3.187 -6.694 6.681
Sb -6.165 -3.784 1.175
Se -3.972 -6.552 9.839
Se -7.308 -0.717 7.590
```

Summary:
Volume, Å³ per atom: 30.29
Space group: Ia-3d
D(E_F), states/eV/cell: 0.2
VASP energy, eV per atom: -4.50

---

(10)
A plane-wave DFT calculation with PBE-GGA was carried out for a geometry-optimized TbSbSe3 structure.

The structure in extended XYZ format:
```
10
Lattice="-0.958 -0.522 -7.061 -4.993 -4.770 1.030 -1.651 6.778 -0.277" Properties=species:S:1:pos:R:3 pbc="T T T"
Se -6.777 -0.598 -4.459
Se -4.104 -3.562 -4.603
Se -1.910 -1.663 -1.426
Sb -3.879 -0.921 0.594
Se -5.731 -2.665 -0.833
Tb -0.479 -0.261 -3.531
Se -4.715 1.175 -1.255
Sb -4.358 -1.181 -2.937
Tb 0.000 0.000 0.000
Se -2.912 0.224 -5.044
```

Summary:
Volume, Å³ per atom: 30.16
Relative energy among the computed polymorphs, meV per atom: 119
Space group: P-6c2

---

(11)
A plane-wave DFT calculation with PBE-GGA was carried out for a geometry-optimized Tb3Sb2Se2 structure.

The structure in extended XYZ format:
```
7
Lattice="4.246 0.000 0.000 0.000 7.610 -0.596 -2.123 -3.031 7.323" Properties=species:S:1:pos:R:3 pbc="T T T"
Sb 0.000 -0.665 5.275
Sb 2.123 5.244 1.452
Tb 0.000 4.043 3.542
Tb 2.123 0.536 3.185
Se 0.000 1.732 1.744
Se 2.123 2.847 4.983
Tb 0.000 3.805 -0.298
```

Summary:
Volume, Å³ per atom: 32.71
Space group: C2/m
D(E_F), states/eV/cell: 3.9
VASP energy, eV per atom: -5.42

---

(12)
A plane-wave DFT calculation with PBE-GGA was carried out for a geometry-optimized Tb7SbSe5 structure.

The structure in extended XYZ format:
```
26
Lattice="4.089 0.000 0.000 -2.045 6.708 0.008 0.000 -0.030 24.359" Properties=species:S:1:pos:R:3 pbc="T T T"
Tb 0.000 4.835 13.086
Tb 0.000 1.253 15.048
Sb 0.000 2.533 18.274
Tb 0.000 2.502 7.850
Se 0.000 3.704 10.443
Tb 0.000 1.249 21.495
Tb 2.045 5.432 9.320
Tb 0.000 4.824 23.464
Se 2.045 0.664 8.731
Tb 2.045 4.183 16.517
Tb 2.045 0.247 18.270
Tb 2.045 4.182 20.033
Se 2.045 2.972 22.623
Tb 2.045 5.439 2.872
Se 0.000 3.715 1.744
Tb 2.045 1.864 0.903
Se 0.000 6.018 20.918
Se 2.045 2.980 13.923
Tb 2.045 1.850 11.280
Se 0.000 -0.012 12.179
Se 2.045 0.669 3.449
Sb 2.045 4.153 6.094
Se 0.000 6.021 15.636
Se 0.000 -0.025 24.359
Tb 0.000 2.505 4.334
Tb 0.000 6.439 6.097
```

Summary:
Volume, Å³ per atom: 25.70
Space group: Cmcm
D(E_F), states/eV/cell: 15.9
VASP energy, eV per atom: -5.70